Entry 1:
The following is a PBEsol calculation of a geometry-optimized YHgRh structure, from Alexandria via LeMat-Bulk.

Output
- Raw total energy: -17.15 eV per formula unit
- Crystal system: tetragonal
- Symmetry: I4mm (107)

Lattice parameters (Å, degrees): 3.5595 3.5595 5.2981 109.63 109.63 90.00
With the nearest neighbours (Å) after each atom.
Element x y z (fractional)
Y (0.3217, 0.3217, 0.6434)  4 Rh 2.88, 5 Hg 2.94-3.05
Rh (0.6717, 0.6717, 0.3434)  4 Y 2.88, 5 Hg 2.95-3.12
Hg (0.0066, 0.0066, 0.0132)  5 Y 2.94-3.05, 5 Rh 2.95-3.12



Entry 2:
The following is a PBEsol calculation of a geometry-optimized YHgRh3 structure, from Alexandria via LeMat-Bulk.

Output
- Raw total energy: -26.95 eV per formula unit
- Crystal system: cubic
- Symmetry: Pm-3m (221)

Lattice parameters (Å, degrees): 4.8270 4.8270 4.8270 90.00 90.00 90.00
With the nearest neighbours (Å) after each atom.
Element x y z (fractional)
Y (0.5000, 0.5000, 0.5000)  12 Rh 3.41
Rh (0.0000, 0.5000, 0.0000)  2 Hg 2.41
Rh (0.0000, 0.0000, 0.5000)  2 Hg 2.41
Rh (0.5000, 0.0000, 0.0000)  2 Hg 2.41
Hg (0.0000, 0.0000, 0.0000)  6 Rh 2.41



Question: Look up the raw total energy of the first one.
Answer: -17.15 eV per formula unit